No. 1
Computed, not measured: a relaxed NaCrNiO4 crystal at the PBE with a Hubbard U level of DFT.

Lattice parameters (Å, degrees): 5.1621 5.6438 7.0854 90.00 93.70 90.00
Last column: nearest neighbours and their distance in Å.
Space group P2_1/m (No. 11)
Symmetry-distinct sites (fractional):
Na (0.1680, 0.2500, 0.4313)  4 O 2.44-2.48
Cr (0.3496, 0.7500, 0.2718)  4 O 1.67-1.78
Ni (0.0943, 0.2500, 0.9739)  5 O 1.97-2.09
O (0.1691, 0.5139, 0.1592)  1 Cr 1.78
O (0.2890, 0.7500, 0.5001)  1 Cr 1.67
O (0.3315, 0.2500, 0.7675)  1 Cr 1.69

density = 3.19 g/cm³
total DFT energy (no corrections) = -5.79 eV/atom

***

No. 2
Computed, not measured: a relaxed Na3Cr2NiO6 crystal at the PBE with a Hubbard U level of DFT.

Lattice parameters (Å, degrees): 5.2428 9.1103 5.6116 90.00 108.03 90.00
Last column: nearest neighbours and their distance in Å.
Space group C2/m (No. 12)
Symmetry-distinct sites (fractional):
Na (0.0000, 0.0000, 0.0000)  6 O 2.38-2.39
Na (0.0000, 0.3366, 0.0000)  6 O 2.36-2.38
Cr (0.0000, 0.1682, 0.5000)  6 O 2.02-2.04
Ni (0.0000, 0.5000, 0.5000)  6 O 2.04-2.09
O (0.2286, 0.0000, 0.6945)  2 Cr 2.04, 1 Ni 2.04
O (0.2361, 0.3288, 0.7005)  2 Cr 2.02-2.04, 1 Ni 2.09

density = 4.27 g/cm³
total DFT energy (no corrections) = -5.92 eV/atom